[1]
Material: Dy5Sc5Si20Ir8
Method: DFT, PBE
State: optimized geometry

Unit cell a=4.1753 b=12.5246 c=12.5246 alpha=89.95 beta=90.00 gamma=90.00
Positions (direct):
Dy1 0.0000 0.0000 0.0000
Dy2 0.0000 0.5001 0.7303
Dy3 0.0000 0.7303 0.5001
Dy4 0.5000 0.1150 0.6139
Dy5 0.5000 0.6139 0.1150
Sc1 0.0000 0.2304 0.2304
Sc2 0.0000 0.2893 0.9439
Sc3 0.0000 0.4408 0.4408
Sc4 0.0000 0.7887 0.7887
Sc5 0.0000 0.9439 0.2893
Si1 0.0000 0.1164 0.4551
Si2 0.0000 0.1234 0.7714
Si3 0.0000 0.2718 0.6082
Si4 0.0000 0.4551 0.1164
Si5 0.0000 0.6082 0.2718
Si6 0.0000 0.6231 0.9587
Si7 0.0000 0.7714 0.1234
Si8 0.0000 0.9587 0.6231
Si9 0.5000 0.0492 0.1816
Si10 0.5000 0.1816 0.0492
Si11 0.5000 0.2815 0.4145
Si12 0.5000 0.3150 0.7820
Si13 0.5000 0.4145 0.2815
Si14 0.5000 0.4483 0.9166
Si15 0.5000 0.5481 0.5481
Si16 0.5000 0.6820 0.6820
Si17 0.5000 0.7820 0.3150
Si18 0.5000 0.8150 0.9491
Si19 0.5000 0.9166 0.4483
Si20 0.5000 0.9491 0.8150
Ir1 0.5000 0.0967 0.3664
Ir2 0.5000 0.1357 0.8619
Ir3 0.5000 0.3613 0.5950
Ir4 0.5000 0.3664 0.0967
Ir5 0.5000 0.5950 0.3613
Ir6 0.5000 0.6350 0.8691
Ir7 0.5000 0.8619 0.1357
Ir8 0.5000 0.8691 0.6350

The value obtained for the formation energy without anion corrections is -0.894 eV per atom.

[2]
Material: DyScSnIr
Method: DFT, PBE
State: optimized geometry

Unit cell a=4.9487 b=4.9487 c=4.9487 alpha=60.00 beta=60.00 gamma=60.00
Positions (direct):
Dy1 0.0000 0.0000 0.0000
Sc1 0.5000 0.5000 0.5000
Sn1 0.2500 0.2500 0.2500
Ir1 0.7500 0.7500 0.7500

The total energy comes out at -26.239 eV/cell.

[3]
Material: TbDyScIr
Method: DFT, PBE
State: optimized geometry

Unit cell a=5.0403 b=5.0403 c=5.0403 alpha=60.00 beta=60.00 gamma=60.00
Positions (direct):
Tb1 0.0000 0.0000 0.0000
Dy1 0.5000 0.5000 0.5000
Sc1 0.7500 0.7500 0.7500
Ir1 0.2500 0.2500 0.2500

The total energy comes out at -25.436 eV/cell.

[4]
Material: Dy3Sc3Tl2Ir
Method: DFT, PBE
State: optimized geometry

Unit cell a=7.7031 b=7.7031 c=4.4042 alpha=90.00 beta=90.00 gamma=120.00
Positions (direct):
Dy1 0.0000 0.5977 0.0000
Dy2 0.4023 0.4023 0.0000
Dy3 0.5977 0.0000 0.0000
Sc1 0.0000 0.2330 0.5000
Sc2 0.2330 0.0000 0.5000
Sc3 0.7670 0.7670 0.5000
Tl1 0.3333 0.6667 0.5000
Tl2 0.6667 0.3333 0.5000
Ir1 0.0000 0.0000 0.0000

The total energy comes out at -50.447 eV/cell.

[5]
Material: DyScZnIr
Method: DFT, PBE
State: optimized geometry

Unit cell a=4.7904 b=4.7904 c=4.7904 alpha=60.00 beta=60.00 gamma=60.00
Positions (direct):
Dy1 0.0000 0.0000 0.0000
Sc1 0.5000 0.5000 0.5000
Zn1 0.7500 0.7500 0.7500
Ir1 0.2500 0.2500 0.2500

The total energy comes out at -23.653 eV/cell.

[6]
Material: Dy2IrSe
Method: DFT, PBE
State: optimized geometry

Unit cell a=3.4747 b=3.4747 c=7.2388 alpha=90.00 beta=90.00 gamma=90.00
Positions (direct):
Dy1 0.0000 0.0000 0.2320
Dy2 0.0000 0.0000 0.7680
Ir1 0.5000 0.5000 0.0000
Se1 0.5000 0.5000 0.5000

The value obtained for the energy relative to the lowest polymorph listed for this composition is 61.6 kJ/mol of formula units. The value obtained for the formation energy without anion corrections is -1.145 eV per atom.

[7]
Material: Dy2IrSe
Method: DFT, PBE
State: optimized geometry

Unit cell a=11.4514 b=11.4514 c=4.1390 alpha=90.00 beta=90.00 gamma=160.08
Positions (direct):
Dy1 0.0634 0.9366 0.7500
Dy2 0.3298 0.6702 0.7500
Dy3 0.6702 0.3298 0.2500
Dy4 0.9366 0.0634 0.2500
Ir1 0.4571 0.5429 0.7500
Ir2 0.5429 0.4571 0.2500
Se1 0.1941 0.8059 0.7500
Se2 0.8059 0.1941 0.2500

The value obtained for the energy relative to the lowest polymorph listed for this composition is 0.0 kJ/mol of formula units. The value obtained for the formation energy without anion corrections is -1.305 eV per atom.

[8]
Material: Dy3IrSe2
Method: DFT, PBE
State: optimized geometry

Unit cell a=13.5082 b=12.8765 c=7.1645 alpha=79.17 beta=69.43 gamma=31.40
Positions (direct):
Dy1 0.0379 0.5366 0.1897
Dy2 0.1035 0.6465 0.6465
Dy3 0.1897 0.7357 0.0379
Dy4 0.2643 0.8103 0.4634
Dy5 0.3535 0.8965 0.8965
Dy6 0.4634 0.9621 0.2643
Dy7 0.5366 0.0379 0.7357
Dy8 0.6465 0.1035 0.1035
Dy9 0.7357 0.1897 0.5366
Dy10 0.8103 0.2643 0.9621
Dy11 0.8965 0.3535 0.3535
Dy12 0.9621 0.4634 0.8103
Ir1 0.0416 0.0416 0.2084
Ir2 0.2084 0.2084 0.0416
Ir3 0.7916 0.7916 0.9584
Ir4 0.9584 0.9584 0.7916
Se1 0.1282 0.1282 0.6218
Se2 0.2947 0.2947 0.4553
Se3 0.3782 0.3782 0.8718
Se4 0.4553 0.4553 0.2947
Se5 0.5447 0.5447 0.7053
Se6 0.6218 0.6218 0.1282
Se7 0.7053 0.7053 0.5447
Se8 0.8718 0.8718 0.3782

The value obtained for the energy relative to the lowest polymorph listed for this composition is 0.0 kJ/mol of formula units. The value obtained for the formation energy without anion corrections is -1.457 eV per atom.

[9]
Material: Dy3IrSe2
Method: DFT, PBE
State: optimized geometry

Unit cell a=7.1486 b=7.1486 c=6.9612 alpha=99.96 beta=99.96 gamma=118.68
Positions (direct):
Dy1 0.0000 0.5000 0.0000
Dy2 0.1470 0.2961 0.4946
Dy3 0.2961 0.1470 0.9946
Dy4 0.5000 0.0000 0.5000
Dy5 0.7039 0.8530 0.0054
Dy6 0.8530 0.7039 0.5054
Ir1 0.0888 0.9112 0.2500
Ir2 0.9112 0.0888 0.7500
Se1 0.2584 0.7416 0.7500
Se2 0.4182 0.5818 0.2500
Se3 0.5818 0.4182 0.7500
Se4 0.7416 0.2584 0.2500

The value obtained for the energy relative to the lowest polymorph listed for this composition is 16.0 kJ/mol of formula units. The value obtained for the formation energy without anion corrections is -1.429 eV per atom.

[10]
Material: Dy4IrSe3
Method: DFT, PBE
State: optimized geometry

Unit cell a=7.1840 b=7.1840 c=4.0273 alpha=90.00 beta=90.00 gamma=108.62
Positions (direct):
Dy1 0.2265 0.2265 0.5000
Dy2 0.2383 0.7617 0.0000
Dy3 0.7617 0.2383 0.0000
Dy4 0.7735 0.7735 0.5000
Ir1 0.0000 0.0000 0.0000
Se1 0.0000 0.5000 0.5000
Se2 0.5000 0.0000 0.5000
Se3 0.5000 0.5000 0.0000

The value obtained for the formation energy without anion corrections is -1.527 eV per atom.

[11]
Material: Dy6IrSe4
Method: DFT, PBE
State: optimized geometry

Unit cell a=6.9926 b=6.9926 c=20.6772 alpha=90.00 beta=90.00 gamma=147.15
Positions (direct):
Dy1 0.0000 0.0000 0.0000
Dy2 0.0000 0.0000 0.5000
Dy3 0.1819 0.8181 0.7500
Dy4 0.2705 0.7295 0.0974
Dy5 0.2705 0.7295 0.4026
Dy6 0.4307 0.5693 0.6695
Dy7 0.4307 0.5693 0.8305
Dy8 0.5693 0.4307 0.1695
Dy9 0.5693 0.4307 0.3305
Dy10 0.7295 0.2705 0.5974
Dy11 0.7295 0.2705 0.9026
Dy12 0.8181 0.1819 0.2500
Ir1 0.1719 0.8281 0.2500
Ir2 0.8281 0.1719 0.7500
Se1 0.0806 0.9194 0.6262
Se2 0.0806 0.9194 0.8738
Se3 0.3567 0.6433 0.5363
Se4 0.3567 0.6433 0.9637
Se5 0.6433 0.3567 0.0363
Se6 0.6433 0.3567 0.4637
Se7 0.9194 0.0806 0.1262
Se8 0.9194 0.0806 0.3738

The value obtained for the formation energy without anion corrections is -1.466 eV per atom.

[12]
Material: Dy4IrSe5
Method: DFT, PBE
State: optimized geometry

Unit cell a=9.1491 b=9.1491 c=8.1575 alpha=106.37 beta=106.37 gamma=25.68
Positions (direct):
Dy1 0.0041 0.0041 0.2530
Dy2 0.3287 0.3287 0.8951
Dy3 0.6713 0.6713 0.1049
Dy4 0.9959 0.9959 0.7470
Ir1 0.5000 0.5000 0.0000
Se1 0.1639 0.1639 0.8497
Se2 0.1683 0.1683 0.3401
Se3 0.5000 0.5000 0.5000
Se4 0.8317 0.8317 0.6599
Se5 0.8361 0.8361 0.1503

The value obtained for the formation energy without anion corrections is -1.357 eV per atom.

no.,magnetization (μB per formula unit)
1,0.0
2,0.0
3,0.4
4,0.0
5,0.0
6,0.0
7,0.0
8,0.0
9,0.0
10,0.0
11,0.0
12,0.0